No. 1
The following is a DFT calculation (PBE) of Na3In5Pb2 after structural relaxation.

Properties
The value obtained for the energy above the most stable polymorph in this dataset is 0.000 eV/atom. For the formation energy, the calculation gives -0.035 eV per atom. The space-group type is Ibam.

Lattice parameters (Å, degrees): 6.7950 10.1344 10.1344 82.78 70.41 70.41
With the nearest neighbours (Å) after each atom.
Sites, in units of the cell vectors:
Na (0.2500, 0.0000, 0.0000)  4 Pb 3.09, 2 In 3.31, 2 Na 3.40
Na (0.7500, 0.0000, 0.0000)  4 Pb 3.09, 2 In 3.31, 2 Na 3.40
Na (0.3698, 0.3918, 0.8686)  4 Pb 3.62-3.72, 8 In 3.66-4.03
Na (0.6302, 0.6082, 0.1314)  4 Pb 3.62-3.72, 8 In 3.66-4.03
Na (0.8698, 0.8686, 0.3918)  4 Pb 3.62-3.72, 8 In 3.66-4.03
Na (0.1302, 0.1314, 0.6082)  4 Pb 3.62-3.72, 8 In 3.66-4.03
In (0.2500, 0.5000, 0.5000)  6 In 3.05-3.40
In (0.7500, 0.5000, 0.5000)  6 In 3.05-3.40
In (0.4930, 0.7570, 0.7570)  2 In 2.98, 2 Pb 3.13, 1 Na 3.31
In (0.0070, 0.2430, 0.2430)  2 In 2.98, 2 Pb 3.13, 1 Na 3.31
In (0.5070, 0.2430, 0.2430)  2 In 2.98, 2 Pb 3.13, 1 Na 3.31
In (0.9930, 0.7570, 0.7570)  2 In 2.98, 2 Pb 3.13, 1 Na 3.31
In (0.1328, 0.4999, 0.2345)  1 Pb 2.92, 4 In 2.98-3.05
In (0.8672, 0.5001, 0.7655)  1 Pb 2.92, 4 In 2.98-3.05
In (0.6328, 0.2345, 0.4999)  1 Pb 2.92, 4 In 2.98-3.05
In (0.3672, 0.7655, 0.5001)  1 Pb 2.92, 4 In 2.98-3.05
Pb (0.1187, 0.7314, 0.0312)  3 In 2.92-3.13, 2 Na 3.09
Pb (0.8813, 0.2686, 0.9688)  3 In 2.92-3.13, 2 Na 3.09
Pb (0.6187, 0.0312, 0.7314)  3 In 2.92-3.13, 2 Na 3.09
Pb (0.3813, 0.9688, 0.2686)  3 In 2.92-3.13, 2 Na 3.09


No. 2
The following is a DFT calculation (PBE) of AcPu2Pd after structural relaxation.

Properties
The value obtained for the energy above the most stable polymorph in this dataset is 0.016 eV/atom. For the formation energy, the calculation gives -0.061 eV per atom. The space-group type is P4/mmm.

Lattice parameters (Å, degrees): 3.7296 3.7296 8.1178 90.00 90.00 90.00
With the nearest neighbours (Å) after each atom.
Sites, in units of the cell vectors:
Ac (0.5000, 0.5000, 0.5000)  8 Pu 3.64, 4 Ac 3.73, 2 Pd 4.06
Pd (0.5000, 0.5000, 0.0000)  8 Pu 3.06
Pu (0.0000, 0.0000, 0.8097)  4 Pd 3.06, 1 Pu 3.09
Pu (0.0000, 0.0000, 0.1903)  4 Pd 3.06, 1 Pu 3.09


No. 3
The following is a DFT calculation (PBE) of OsPbAu2 after structural relaxation.

Properties
For the formation energy, the calculation gives 0.694 eV per atom. The space-group type is I-4m2.

Lattice parameters (Å, degrees): 4.9996 4.9996 4.9996 128.24 128.24 76.23
With the nearest neighbours (Å) after each atom.
Sites, in units of the cell vectors:
Au (0.0000, 0.0000, 0.0000)  4 Au 2.94, 4 Pb 2.94, 4 Os 3.09
Au (0.2500, 0.7500, 0.5000)  4 Os 2.94, 4 Au 2.94, 4 Pb 3.09
Os (0.5000, 0.5000, 0.0000)  4 Pb 2.94, 8 Au 2.94-3.09
Pb (0.7500, 0.2500, 0.5000)  4 Os 2.94, 8 Au 2.94-3.09


No. 4
The following is a DFT calculation (PBE) of ReTcSe2N after structural relaxation.

Properties
The value obtained for the energy above the most stable polymorph in this dataset is 0.259 eV/atom. The value obtained for the formation energy from raw total energies is 1.0769 eV/atom. The space-group type is P4/mmm.

Lattice parameters (Å, degrees): 5.0140 5.0140 3.6665 90.00 90.00 90.00
With the nearest neighbours (Å) after each atom.
Sites, in units of the cell vectors:
Re (0.5000, 0.5000, 0.5000)  8 Se 3.11
Tc (0.0000, 0.0000, 0.0000)  2 N 1.83
Se (0.0000, 0.5000, 0.0000)  2 Tc 2.51
Se (0.5000, 0.0000, 0.0000)  2 Tc 2.51
N (0.0000, 0.0000, 0.5000)  2 Tc 1.83


No. 5
The following is a DFT calculation (PBE) of Li2AcSmTe4 after structural relaxation.

Properties
The value obtained for the formation energy from raw total energies is -1.3128 eV/atom. The space-group type is P2/m.

Lattice parameters (Å, degrees): 4.5514 7.5887 7.9027 69.72 90.00 90.00
With the nearest neighbours (Å) after each atom.
Sites, in units of the cell vectors:
Li (0.0000, 0.0000, 0.0000)  6 Te 3.17-3.20
Li (0.5000, 0.0000, 0.5000)  6 Te 3.06
Ac (0.5000, 0.5000, 0.0000)  6 Te 3.29-3.30
Sm (0.0000, 0.5000, 0.5000)  6 Te 3.17-3.18
Te (0.0000, 0.7680, 0.7306)  3 Li 3.06-3.20, 1 Sm 3.17, 2 Ac 3.29
Te (0.0000, 0.2320, 0.2694)  3 Li 3.06-3.20, 1 Sm 3.17, 2 Ac 3.29
Te (0.5000, 0.7612, 0.2582)  3 Li 3.06-3.17, 2 Sm 3.18, 1 Ac 3.30
Te (0.5000, 0.2388, 0.7418)  3 Li 3.06-3.17, 2 Sm 3.18, 1 Ac 3.30


No. 6
The following is a DFT calculation (PBE) of Ta2TlRh after structural relaxation.

Properties
The value obtained for the energy above the most stable polymorph in this dataset is 0.009 eV/atom. For the formation energy, the calculation gives 0.079 eV per atom. The space-group type is Pmm2.

Lattice parameters (Å, degrees): 3.1368 3.5242 6.6635 90.00 90.00 90.00
With the nearest neighbours (Å) after each atom.
Sites, in units of the cell vectors:
Ta (0.0000, 0.0000, 0.9824)  4 Rh 2.74, 4 Ta 2.89
Ta (0.5000, 0.5000, 0.2330)  6 Ta 2.89-3.14, 4 Tl 3.00, 1 Rh 3.06
Tl (0.0000, 0.0000, 0.5104)  4 Rh 2.94, 5 Ta 3.00-3.15, 2 Tl 3.14
Rh (0.5000, 0.5000, 0.7742)  5 Ta 2.74-3.06, 4 Tl 2.94


No. 7
The following is a DFT calculation (PBE) of RbTcCl3 after structural relaxation.

Properties
The value obtained for the formation energy from raw total energies is -0.8596 eV/atom. The space-group type is Pm-3m.

Lattice parameters (Å, degrees): 5.0575 5.0575 5.0575 90.00 90.00 90.00
With the nearest neighbours (Å) after each atom.
Sites, in units of the cell vectors:
Tc (0.0000, 0.0000, 0.0000)  6 Cl 2.53
Rb (0.5000, 0.5000, 0.5000)  12 Cl 3.58
Cl (0.0000, 0.5000, 0.0000)  2 Tc 2.53
Cl (0.0000, 0.0000, 0.5000)  2 Tc 2.53
Cl (0.5000, 0.0000, 0.0000)  2 Tc 2.53


No. 8
The following is a DFT calculation (PBE) of Nd3SbO after structural relaxation.

Properties
The value obtained for the energy above the most stable polymorph in this dataset is 0.015 eV/atom. The value obtained for the formation energy from raw total energies is -1.4757 eV/atom. The space-group type is Pm-3m.

Lattice parameters (Å, degrees): 4.9571 4.9571 4.9571 90.00 90.00 90.00
With the nearest neighbours (Å) after each atom.
Sites, in units of the cell vectors:
Sb (0.5000, 0.5000, 0.5000)  12 Nd 3.51
Nd (0.0000, 0.5000, 0.0000)  2 O 2.48
Nd (0.0000, 0.0000, 0.5000)  2 O 2.48
Nd (0.5000, 0.0000, 0.0000)  2 O 2.48
O (0.0000, 0.0000, 0.0000)  6 Nd 2.48


No. 9
The following is a DFT calculation (PBE) of Zn2BrCl after structural relaxation.

Properties
The value obtained for the energy above the most stable polymorph in this dataset is 0.438 eV/atom. The value obtained for the formation energy from raw total energies is -0.1767 eV/atom. The space-group type is C2/m.

Lattice parameters (Å, degrees): 5.6711 6.8367 4.2259 95.45 64.54 129.65
With the nearest neighbours (Å) after each atom.
Sites, in units of the cell vectors:
Br (0.5000, 0.5000, 0.0000)  4 Zn 2.71
Cl (0.5000, 0.0000, 0.5000)  4 Zn 2.71
Zn (0.0000, 0.0000, 0.0000)  2 Cl 2.71, 2 Br 2.71
Zn (0.0000, 0.5000, 0.5000)  2 Br 2.71, 2 Cl 2.71


Number 1: ρ 5.67 g/cm³, volume 30.97 Å³/atom. Number 2: ρ 12.08 g/cm³, volume 28.23 Å³/atom. Number 3: ρ 17.54 g/cm³, volume 18.73 Å³/atom. Number 4: ρ 8.22 g/cm³, volume 18.44 Å³/atom. Number 5: ρ 5.85 g/cm³, volume 32.00 Å³/atom. Number 6: ρ 15.09 g/cm³, volume 18.42 Å³/atom. Number 7: ρ 3.72 g/cm³, volume 25.87 Å³/atom. Number 8: ρ 7.78 g/cm³, volume 24.36 Å³/atom. Number 9: ρ 3.71 g/cm³, volume 27.51 Å³/atom.